Run i
A plane-wave DFT calculation with PBE was carried out for an optimized crystal structure of Cs2Tl2As.

Mass density: 4.99 g cm⁻³
N(E_F): 0.157 states/eV/atom
Calculated volume: 49.9 Å³/atom

a = 8.258 Å, b = 8.258 Å, c = 9.034 Å
α = 105.82°, β = 105.82°, γ = 111.92°
Positions (direct):
1 Cs 0.055 0.385 0.263
2 Cs 0.385 0.055 0.263
3 Cs 0.615 0.945 0.737
4 Cs 0.945 0.615 0.737
5 Tl 0.223 0.223 0.917
6 Tl 0.423 0.423 0.717
7 Tl 0.577 0.577 0.283
8 Tl 0.777 0.777 0.083
9 As 0.360 0.640 0.000
10 As 0.640 0.360 0.000

Run ii
A plane-wave DFT calculation with PBE was carried out for an optimized crystal structure of Cs2Tl2As.

Mass density: 6.15 g cm⁻³
N(E_F): 0.930 states/eV/atom
Calculated volume: 40.5 Å³/atom

a = 8.027 Å, b = 8.027 Å, c = 6.278 Å
α = 90.00°, β = 90.00°, γ = 90.00°
Positions (direct):
1 Cs 0.188 0.312 0.000
2 Cs 0.312 0.812 0.000
3 Cs 0.688 0.188 0.000
4 Cs 0.812 0.688 0.000
5 Tl 0.137 0.637 0.500
6 Tl 0.363 0.137 0.500
7 Tl 0.637 0.863 0.500
8 Tl 0.863 0.363 0.500
9 As 0.000 0.000 0.500
10 As 0.500 0.500 0.500

Which structure is most stable? run i, by 147 meV per atom over the runner-up.

Run i
A plane-wave DFT calculation with PBE was carried out for an optimized crystal structure of Cs3TlAs.

Mass density: 3.20 g cm⁻³
N(E_F): 1.433 states/eV/atom
Calculated volume: 70.4 Å³/atom

a = 7.061 Å, b = 7.061 Å, c = 7.061 Å
α = 90.00°, β = 90.00°, γ = 90.00°
Positions (direct):
1 Cs 0.000 0.000 0.500
2 Cs 0.000 0.500 0.000
3 Cs 0.500 0.000 0.000
4 Tl 0.500 0.500 0.500
5 As 0.000 0.000 0.000

Run ii
A plane-wave DFT calculation with PBE was carried out for an optimized crystal structure of Cs3TlAs.

Mass density: 4.24 g cm⁻³
N(E_F): 0.723 states/eV/atom
Calculated volume: 53.1 Å³/atom

a = 9.880 Å, b = 9.880 Å, c = 5.820 Å
α = 90.00°, β = 90.00°, γ = 110.90°
Positions (direct):
1 Cs 0.132 0.868 0.750
2 Cs 0.150 0.453 0.750
3 Cs 0.453 0.150 0.250
4 Cs 0.547 0.850 0.750
5 Cs 0.850 0.547 0.250
6 Cs 0.868 0.132 0.250
7 Tl 0.445 0.555 0.250
8 Tl 0.555 0.445 0.750
9 As 0.272 0.728 0.250
10 As 0.728 0.272 0.750

Which structure is most stable? run ii, by 328 meV per atom over the runner-up.

Run i
A plane-wave DFT calculation with PBE was carried out for an optimized crystal structure of CsVAs3.

Mass density: 3.82 g cm⁻³
N(E_F): 1.765 states/eV/atom
Calculated volume: 35.6 Å³/atom

a = 5.623 Å, b = 5.623 Å, c = 5.623 Å
α = 90.00°, β = 90.00°, γ = 90.00°
Positions (direct):
1 Cs 0.000 0.000 0.000
2 V 0.500 0.500 0.500
3 As 0.000 0.000 0.500
4 As 0.000 0.500 0.000
5 As 0.500 0.000 0.000

Run ii
A plane-wave DFT calculation with PBE was carried out for an optimized crystal structure of CsVAs3.

Mass density: 5.57 g cm⁻³
N(E_F): 1.342 states/eV/atom
Calculated volume: 24.4 Å³/atom

a = 4.957 Å, b = 4.957 Å, c = 4.957 Å
α = 90.00°, β = 90.00°, γ = 90.00°
Positions (direct):
1 Cs 0.000 0.000 0.000
2 V 0.500 0.500 0.500
3 As 0.000 0.500 0.500
4 As 0.500 0.000 0.500
5 As 0.500 0.500 0.000

Which structure is most stable? run ii, by 2087 meV per atom over the runner-up.

Run i
A plane-wave DFT calculation with PBE was carried out for an optimized crystal structure of CsAsW3.

Mass density: 10.42 g cm⁻³
N(E_F): 0.887 states/eV/atom
Calculated volume: 24.2 Å³/atom

a = 4.946 Å, b = 4.946 Å, c = 4.946 Å
α = 90.00°, β = 90.00°, γ = 90.00°
Positions (direct):
1 Cs 0.000 0.000 0.000
2 As 0.500 0.500 0.500
3 W 0.000 0.000 0.500
4 W 0.000 0.500 0.000
5 W 0.500 0.000 0.000

Run ii
A plane-wave DFT calculation with PBE was carried out for an optimized crystal structure of CsAsW3.

Mass density: 11.10 g cm⁻³
N(E_F): 2.240 states/eV/atom
Calculated volume: 22.7 Å³/atom

a = 4.843 Å, b = 4.843 Å, c = 4.843 Å
α = 90.00°, β = 90.00°, γ = 90.00°
Positions (direct):
1 Cs 0.000 0.000 0.000
2 As 0.500 0.500 0.500
3 W 0.000 0.500 0.500
4 W 0.500 0.000 0.500
5 W 0.500 0.500 0.000

Which structure is most stable? run ii, by 1794 meV per atom over the runner-up.

Run i
A plane-wave DFT calculation with PBE was carried out for an optimized crystal structure of Cs3ZnAs2.

Mass density: 4.17 g cm⁻³
N(E_F): 0.789 states/eV/atom
Calculated volume: 40.7 Å³/atom

a = 9.423 Å, b = 9.423 Å, c = 9.423 Å
α = 125.70°, β = 75.02°, γ = 132.45°
Positions (direct):
1 Cs 0.177 0.702 0.879
2 Cs 0.250 0.250 0.000
3 Cs 0.323 0.202 0.525
4 Cs 0.677 0.798 0.475
5 Cs 0.750 0.750 0.000
6 Cs 0.823 0.298 0.121
7 Zn 0.250 0.750 0.500
8 Zn 0.750 0.250 0.500
9 As 0.074 0.340 0.414
10 As 0.426 0.840 0.266
11 As 0.574 0.160 0.734
12 As 0.926 0.660 0.586

Run ii
A plane-wave DFT calculation with PBE was carried out for an optimized crystal structure of Cs3ZnAs2.

Mass density: 3.39 g cm⁻³
N(E_F): 0.917 states/eV/atom
Calculated volume: 50.1 Å³/atom

a = 9.797 Å, b = 9.797 Å, c = 9.797 Å
α = 130.74°, β = 82.37°, γ = 118.69°
Positions (direct):
1 Cs 0.032 0.750 0.282
2 Cs 0.250 0.250 0.000
3 Cs 0.468 0.750 0.718
4 Cs 0.532 0.250 0.282
5 Cs 0.750 0.750 0.000
6 Cs 0.968 0.250 0.718
7 Zn 0.000 0.500 0.500
8 Zn 0.500 0.000 0.500
9 As 0.101 0.722 0.823
10 As 0.399 0.222 0.621
11 As 0.601 0.778 0.379
12 As 0.899 0.278 0.177

Which structure is most stable? run i, by 43 meV per atom over the runner-up.

Run i
A plane-wave DFT calculation with PBE was carried out for an optimized crystal structure of CsZnAs3.

Mass density: 3.56 g cm⁻³
N(E_F): 1.533 states/eV/atom
Calculated volume: 39.4 Å³/atom

a = 5.821 Å, b = 5.821 Å, c = 5.821 Å
α = 90.00°, β = 90.00°, γ = 90.00°
Positions (direct):
1 Cs 0.000 0.000 0.000
2 Zn 0.500 0.500 0.500
3 As 0.000 0.000 0.500
4 As 0.000 0.500 0.000
5 As 0.500 0.000 0.000

Run ii
A plane-wave DFT calculation with PBE was carried out for an optimized crystal structure of CsZnAs3.

Mass density: 5.18 g cm⁻³
N(E_F): 0.681 states/eV/atom
Calculated volume: 27.1 Å³/atom

a = 5.137 Å, b = 5.137 Å, c = 5.137 Å
α = 90.00°, β = 90.00°, γ = 90.00°
Positions (direct):
1 Cs 0.000 0.000 0.000
2 Zn 0.500 0.500 0.500
3 As 0.000 0.500 0.500
4 As 0.500 0.000 0.500
5 As 0.500 0.500 0.000

Which structure is most stable? run ii, by 1459 meV per atom over the runner-up.

Run i
A plane-wave DFT calculation with PBE was carried out for an optimized crystal structure of Cs2Zn2As.

Mass density: 4.98 g cm⁻³
N(E_F): 0.557 states/eV/atom
Calculated volume: 31.5 Å³/atom

a = 7.324 Å, b = 7.324 Å, c = 5.866 Å
α = 90.00°, β = 90.00°, γ = 90.00°
Positions (direct):
1 Cs 0.188 0.312 0.000
2 Cs 0.312 0.812 0.000
3 Cs 0.688 0.188 0.000
4 Cs 0.812 0.688 0.000
5 Zn 0.128 0.628 0.500
6 Zn 0.372 0.128 0.500
7 Zn 0.628 0.872 0.500
8 Zn 0.872 0.372 0.500
9 As 0.000 0.000 0.500
10 As 0.500 0.500 0.500

Run ii
A plane-wave DFT calculation with PBE was carried out for an optimized crystal structure of Cs2Zn2As.

Mass density: 4.52 g cm⁻³
N(E_F): 0.612 states/eV/atom
Calculated volume: 34.7 Å³/atom

a = 12.488 Å, b = 12.488 Å, c = 12.488 Å
α = 162.64°, β = 162.64°, γ = 24.65°
Positions (direct):
1 Cs 0.100 0.100 0.000
2 Cs 0.900 0.900 0.000
3 Zn 0.250 0.750 0.500
4 Zn 0.750 0.250 0.500
5 As 0.500 0.500 0.000

Which structure is most stable? run i, by 64 meV per atom over the runner-up.

Run i
A plane-wave DFT calculation with PBE was carried out for an optimized crystal structure of Cs2ZnAs.

Mass density: 3.04 g cm⁻³
N(E_F): 0.428 states/eV/atom
Calculated volume: 55.5 Å³/atom

a = 7.723 Å, b = 5.410 Å, c = 11.300 Å
α = 90.00°, β = 109.89°, γ = 90.00°
Positions (direct):
1 Cs 0.077 0.250 0.159
2 Cs 0.340 0.750 0.640
3 Cs 0.660 0.250 0.360
4 Cs 0.923 0.750 0.841
5 Zn 0.500 0.000 0.000
6 Zn 0.500 0.500 0.000
7 As 0.379 0.750 0.126
8 As 0.621 0.250 0.874

Run ii
A plane-wave DFT calculation with PBE was carried out for an optimized crystal structure of Cs2ZnAs.

Mass density: 3.97 g cm⁻³
N(E_F): 0.982 states/eV/atom
Calculated volume: 42.4 Å³/atom

a = 6.215 Å, b = 6.215 Å, c = 6.215 Å
α = 60.00°, β = 60.00°, γ = 60.00°
Positions (direct):
1 Cs 0.250 0.250 0.250
2 Cs 0.750 0.750 0.750
3 Zn 0.000 0.000 0.000
4 As 0.500 0.500 0.500

Run iii
A plane-wave DFT calculation with PBE was carried out for an optimized crystal structure of Cs2ZnAs.

Mass density: 3.83 g cm⁻³
N(E_F): 0.309 states/eV/atom
Calculated volume: 44.0 Å³/atom

a = 6.312 Å, b = 6.312 Å, c = 5.098 Å
α = 90.11°, β = 90.11°, γ = 60.01°
Positions (direct):
1 Cs 0.167 0.167 0.270
2 Cs 0.833 0.833 0.730
3 Zn 0.500 0.500 0.000
4 As 0.500 0.500 0.500

Which structure is most stable? run i, by 15 meV per atom over the runner-up.

Run i
A plane-wave DFT calculation with PBE was carried out for an optimized crystal structure of CsZr3As.

Mass density: 5.55 g cm⁻³
N(E_F): 0.780 states/eV/atom
Calculated volume: 28.8 Å³/atom

a = 5.243 Å, b = 5.243 Å, c = 5.243 Å
α = 90.00°, β = 90.00°, γ = 90.00°
Positions (direct):
1 Cs 0.000 0.000 0.000
2 Zr 0.000 0.000 0.500
3 Zr 0.000 0.500 0.000
4 Zr 0.500 0.000 0.000
5 As 0.500 0.500 0.500

Run ii
A plane-wave DFT calculation with PBE was carried out for an optimized crystal structure of CsZr3As.

Mass density: 5.53 g cm⁻³
N(E_F): 1.285 states/eV/atom
Calculated volume: 28.9 Å³/atom

a = 5.249 Å, b = 5.249 Å, c = 5.249 Å
α = 90.00°, β = 90.00°, γ = 90.00°
Positions (direct):
1 Cs 0.000 0.000 0.000
2 Zr 0.000 0.500 0.500
3 Zr 0.500 0.000 0.500
4 Zr 0.500 0.500 0.000
5 As 0.500 0.500 0.500

Which structure is most stable? run ii, by 1447 meV per atom over the runner-up.

Run i
A plane-wave DFT calculation with PBE was carried out for an optimized crystal structure of Cu4As.

Mass density: 6.14 g cm⁻³
N(E_F): 0.344 states/eV/atom
Calculated volume: 17.8 Å³/atom

a = 4.465 Å, b = 4.465 Å, c = 4.465 Å
α = 90.00°, β = 90.00°, γ = 90.00°
Positions (direct):
1 Cu 0.000 0.000 0.000
2 Cu 0.000 0.500 0.500
3 Cu 0.500 0.000 0.500
4 Cu 0.500 0.500 0.000
5 As 0.500 0.500 0.500

Run ii
A plane-wave DFT calculation with PBE was carried out for an optimized crystal structure of Cu4As.

Mass density: 6.71 g cm⁻³
N(E_F): 0.353 states/eV/atom
Calculated volume: 16.3 Å³/atom

a = 4.729 Å, b = 4.729 Å, c = 4.729 Å
α = 109.47°, β = 109.47°, γ = 109.47°
Positions (direct):
1 Cu 0.000 0.000 0.500
2 Cu 0.000 0.500 0.000
3 Cu 0.500 0.000 0.000
4 Cu 0.500 0.500 0.500
5 As 0.000 0.000 0.000

Run iii
A plane-wave DFT calculation with PBE was carried out for an optimized crystal structure of Cu4As.

Mass density: 8.31 g cm⁻³
N(E_F): 0.542 states/eV/atom
Calculated volume: 13.2 Å³/atom

a = 6.407 Å, b = 6.407 Å, c = 6.407 Å
α = 90.00°, β = 90.00°, γ = 90.00°
Positions (direct):
1 Cu 0.043 0.112 0.794
2 Cu 0.112 0.794 0.043
3 Cu 0.194 0.194 0.194
4 Cu 0.206 0.543 0.388
5 Cu 0.294 0.457 0.888
6 Cu 0.306 0.806 0.694
7 Cu 0.388 0.206 0.543
8 Cu 0.457 0.888 0.294
9 Cu 0.543 0.388 0.206
10 Cu 0.612 0.706 0.957
11 Cu 0.694 0.306 0.806
12 Cu 0.706 0.957 0.612
13 Cu 0.794 0.043 0.112
14 Cu 0.806 0.694 0.306
15 Cu 0.888 0.294 0.457
16 Cu 0.957 0.612 0.706
17 As 0.067 0.933 0.433
18 As 0.433 0.067 0.933
19 As 0.567 0.567 0.567
20 As 0.933 0.433 0.067

Run iv
A plane-wave DFT calculation with PBE was carried out for an optimized crystal structure of Cu4As.

Mass density: 8.42 g cm⁻³
N(E_F): 0.321 states/eV/atom
Calculated volume: 13.0 Å³/atom

a = 4.558 Å, b = 4.558 Å, c = 4.558 Å
α = 99.82°, β = 99.82°, γ = 131.21°
Positions (direct):
1 Cu 0.104 0.307 0.412
2 Cu 0.307 0.896 0.203
3 Cu 0.693 0.104 0.797
4 Cu 0.896 0.693 0.588
5 As 0.500 0.500 0.000

Which structure is most stable? run iv, by 54 meV per atom over the runner-up.

Run i
A plane-wave DFT calculation with PBE was carried out for an optimized crystal structure of Cu13As2.

Mass density: 7.10 g cm⁻³
N(E_F): 0.391 states/eV/atom
Calculated volume: 15.2 Å³/atom

a = 7.267 Å, b = 7.267 Å, c = 7.267 Å
α = 53.23°, β = 53.23°, γ = 53.23°
Positions (direct):
1 Cu 0.000 0.000 0.000
2 Cu 0.109 0.109 0.497
3 Cu 0.109 0.497 0.109
4 Cu 0.247 0.247 0.620
5 Cu 0.247 0.620 0.247
6 Cu 0.380 0.753 0.753
7 Cu 0.497 0.109 0.109
8 Cu 0.503 0.891 0.891
9 Cu 0.620 0.247 0.247
10 Cu 0.753 0.380 0.753
11 Cu 0.753 0.753 0.380
12 Cu 0.891 0.503 0.891
13 Cu 0.891 0.891 0.503
14 As 0.131 0.131 0.131
15 As 0.869 0.869 0.869

Run ii
A plane-wave DFT calculation with PBE was carried out for an optimized crystal structure of Cu13As2.

Mass density: 8.52 g cm⁻³
N(E_F): 0.283 states/eV/atom
Calculated volume: 12.7 Å³/atom

a = 4.498 Å, b = 5.891 Å, c = 7.861 Å
α = 71.76°, β = 74.21°, γ = 82.68°
Positions (direct):
1 Cu 0.000 0.000 0.000
2 Cu 0.059 0.402 0.746
3 Cu 0.207 0.200 0.195
4 Cu 0.264 0.602 0.936
5 Cu 0.323 0.001 0.671
6 Cu 0.413 0.395 0.390
7 Cu 0.477 0.799 0.125
8 Cu 0.523 0.201 0.875
9 Cu 0.587 0.605 0.610
10 Cu 0.677 0.999 0.329
11 Cu 0.736 0.398 0.064
12 Cu 0.793 0.800 0.805
13 Cu 0.941 0.598 0.254
14 As 0.155 0.779 0.455
15 As 0.845 0.221 0.545

Which structure is most stable? run ii, by 232 meV per atom over the runner-up.